Here is a relaxed structure of Nd2MgSe4 from the Alexandria database. Energies are from PBE-GGA.

Calculated values
The total energy is -5.10 eV/atom. The raw formation energy is -10.63 eV per formula unit. The calculated volume is 28.5 A^3/atom. As for the total magnetization: 0.00 μB per cell.

a b c (Å): 8.537 7.569 12.348
angles (deg): 90.00 90.00 90.00
Space group Pnma (No. 62)
Inequivalent atoms, fractional coordinates:
Nd1 0.044 0.250 0.182
Nd2 0.079 0.750 0.469
Mg1 0.190 0.750 0.084
Se1 0.095 0.250 0.942
Se2 0.140 0.505 0.656
Se3 0.214 0.250 0.389

***

Here is a relaxed structure of Nd2MgSe4 from the Alexandria database. Energies are from PBE-GGA.

Calculated values
The total energy is -5.25 eV/atom. The raw formation energy is -11.68 eV per formula unit. As for the density of states at the Fermi level: 0.0 states/eV/cell. The calculated volume is 31.0 A^3/atom. As for the total magnetization: 0.00 μB per cell.

a b c (Å): 14.566 8.551 6.973
angles (deg): 90.00 90.00 90.00
Space group Pnma (No. 62)
Inequivalent atoms, fractional coordinates:
Nd1 0.000 0.000 0.000
Nd2 0.232 0.250 0.491
Mg1 0.094 0.750 0.413
Se1 0.069 0.250 0.743
Se2 0.090 0.750 0.778
Se3 0.170 0.514 0.239

***

Here is a relaxed structure of Nd2MgSe4 from the Alexandria database. Energies are from PBE-GGA.

Calculated values
The total energy is -5.24 eV/atom. The raw formation energy is -11.61 eV per formula unit. The calculated volume is 30.8 A^3/atom. As for the total magnetization: 0.00 μB per cell.

a b c (Å): 11.991 11.991 11.991
angles (deg): 90.00 90.00 90.00
Space group Fd-3m (No. 227, origin choice 2)
Inequivalent atoms, fractional coordinates:
Nd1 0.000 0.000 0.000
Mg1 0.125 0.125 0.625
Se1 0.003 0.003 0.247

***

Here is a relaxed structure of Nd3Mg5Se12 from the Alexandria database. Energies are from PBE-GGA.

Calculated values
The total energy is -4.29 eV/atom. The raw formation energy is -21.77 eV per formula unit. As for the density of states at the Fermi level: 159.3 states/eV/cell. The calculated volume is 27.3 A^3/atom. As for the total magnetization: 0.00 μB per cell.

a b c (Å): 16.341 16.341 16.341
angles (deg): 90.00 90.00 90.00
Space group Ia-3d (No. 230)
Inequivalent atoms, fractional coordinates:
Nd1 0.000 0.250 0.125
Mg1 0.000 0.000 0.000
Mg2 0.000 0.250 0.375
Se1 0.026 0.068 0.651

***

Here is a relaxed structure of Nd2MgSe3 from the Alexandria database. Energies are from PBE-GGA.

Calculated values
The total energy is -5.19 eV/atom. The raw formation energy is -9.53 eV per formula unit. As for the density of states at the Fermi level: 8.9 states/eV/cell. The calculated volume is 25.3 A^3/atom. As for the total magnetization: 0.00 μB per cell.

a b c (Å): 5.848 17.725 5.849
angles (deg): 90.00 90.00 90.00
Space group Fmm2 (No. 42)
Inequivalent atoms, fractional coordinates:
Nd1 0.000 0.174 0.000
Mg1 0.000 0.000 0.490
Se1 0.000 0.000 0.999
Se2 0.000 0.154 0.500

***

Here is a relaxed structure of Nd4MgSe5 from the Alexandria database. Energies are from PBE-GGA.

Calculated values
The total energy is -5.50 eV/atom. The raw formation energy is -16.91 eV per formula unit. As for the density of states at the Fermi level: 10.6 states/eV/cell. The calculated volume is 25.8 A^3/atom. As for the total magnetization: 0.00 μB per cell.

a b c (Å): 4.1386 4.1386 52.1933
angles (deg): 90.00 90.00 120.00
Space group R-3m (No. 166, hexagonal axes)
Inequivalent atoms, fractional coordinates:
Nd1 0.0000 0.0000 0.1005
Nd2 0.0000 0.0000 0.2980
Mg1 0.0000 0.0000 0.5000
Se1 0.0000 0.0000 0.0000
Se2 0.0000 0.0000 0.1954
Se3 0.0000 0.0000 0.4016

***

Here is a relaxed structure of Nd2MgSe4 from the Alexandria database. Energies are from PBE-GGA.

Calculated values
The total energy is -5.12 eV/atom. The raw formation energy is -10.80 eV per formula unit. As for the density of states at the Fermi level: 0.0 states/eV/cell. The calculated volume is 30.9 A^3/atom. As for the total magnetization: 0.00 μB per cell.

a b c (Å): 6.987 9.733 13.616
angles (deg): 74.42 76.07 86.37
Space group P-1 (No. 2)
Inequivalent atoms, fractional coordinates:
Nd1 0.232 0.119 0.017
Nd2 0.251 0.669 0.662
Nd3 0.257 0.047 0.370
Nd4 0.257 0.662 0.269
Mg1 0.239 0.535 0.000
Mg2 0.271 0.166 0.703
Se1 0.013 0.670 0.879
Se2 0.020 0.848 0.126
Se3 0.138 0.418 0.628
Se4 0.162 0.984 0.607
Se5 0.350 0.343 0.324
Se6 0.376 0.754 0.431
Se7 0.477 0.971 0.171
Se8 0.498 0.639 0.068

***

Here is a relaxed structure of Nd3MgSe4 from the Alexandria database. Energies are from PBE-GGA.

Calculated values
The total energy is -5.35 eV/atom. The raw formation energy is -12.95 eV per formula unit. As for the density of states at the Fermi level: 8.8 states/eV/cell. The calculated volume is 25.6 A^3/atom. As for the total magnetization: 0.00 μB per cell.

a b c (Å): 8.474 11.805 4.096
angles (deg): 90.00 90.00 90.00
Space group Cmmm (No. 65)
Inequivalent atoms, fractional coordinates:
Nd1 0.000 0.000 0.000
Nd2 0.250 0.250 0.500
Mg1 0.000 0.500 0.000
Se1 0.000 0.262 0.000
Se2 0.228 0.500 0.500

***

Here is a relaxed structure of Nd4MgSe5 from the Alexandria database. Energies are from PBE-GGA.

Calculated values
The total energy is -5.48 eV/atom. The raw formation energy is -16.76 eV per formula unit. As for the density of states at the Fermi level: 8.3 states/eV/cell. The calculated volume is 25.9 A^3/atom. As for the total magnetization: 0.00 μB per cell.

a b c (Å): 9.337 9.337 5.933
angles (deg): 90.00 90.00 90.00
Space group I4 (No. 79)
Inequivalent atoms, fractional coordinates:
Nd1 0.094 0.306 0.000
Mg1 0.000 0.000 0.484
Se1 0.000 0.000 0.002
Se2 0.097 0.278 0.500

***

Here is a relaxed structure of Nd2MgSe4 from the Alexandria database. Energies are from PBE-GGA.

Calculated values
The total energy is -5.22 eV/atom. The raw formation energy is -11.47 eV per formula unit. As for the density of states at the Fermi level: 0.0 states/eV/cell. The calculated volume is 25.0 A^3/atom. As for the total magnetization: 0.00 μB per cell.

a b c (Å): 8.713 8.713 9.217
angles (deg): 90.00 90.00 90.00
Space group I-42d (No. 122)
Inequivalent atoms, fractional coordinates:
Nd1 0.126 0.750 0.125
Mg1 0.000 0.000 0.500
Se1 0.069 0.697 0.443

***

Here is a relaxed structure of Nd4MgSe7 from the Alexandria database. Energies are from PBE-GGA.

Calculated values
The total energy is -5.51 eV/atom. The raw formation energy is -21.03 eV per formula unit. The calculated volume is 27.6 A^3/atom. As for the total magnetization: 0.00 μB per cell.

a b c (Å): 13.530 4.110 12.360
angles (deg): 90.00 105.64 90.00
Space group Cm (No. 8)
Inequivalent atoms, fractional coordinates:
Nd1 0.000 0.000 0.000
Nd2 0.070 0.500 0.349
Nd3 0.186 0.000 0.760
Nd4 0.377 0.500 0.557
Mg1 0.269 0.500 0.141
Se1 0.040 0.500 0.615
Se2 0.132 0.500 0.927
Se3 0.159 0.000 0.213
Se4 0.214 0.000 0.511
Se5 0.345 0.500 0.781
Se6 0.390 0.000 0.086
Se7 0.413 0.500 0.338

***

Here is a relaxed structure of Nd3Sm3MgSe8 from the Alexandria database. Energies are from PBE-GGA.

Calculated values
The total energy is -5.65 eV/atom. The raw formation energy is -26.78 eV per formula unit. As for the density of states at the Fermi level: 11.3 states/eV/cell. The calculated volume is 27.5 A^3/atom. As for the total magnetization: 0.00 μB per cell.

a b c (Å): 8.3379 8.3379 20.5354
angles (deg): 90.00 90.00 120.00
Space group R-3m (No. 166, hexagonal axes)
Inequivalent atoms, fractional coordinates:
Nd1 0.0000 0.5000 0.0000
Sm1 0.0000 0.5000 0.5000
Mg1 0.0000 0.0000 0.5000
Se1 0.0000 0.0000 0.2484
Se2 0.0123 0.5062 0.2454

***

Here is a relaxed structure of Nd3Y3MgSe8 from the Alexandria database. Energies are from PBE-GGA.

Calculated values
The total energy is -5.99 eV/atom. The raw formation energy is -26.69 eV per formula unit. As for the density of states at the Fermi level: 9.9 states/eV/cell. The calculated volume is 26.7 A^3/atom. As for the total magnetization: 0.00 μB per cell.

a b c (Å): 8.2282 8.2282 20.4696
angles (deg): 90.00 90.00 120.00
Space group R-3m (No. 166, hexagonal axes)
Inequivalent atoms, fractional coordinates:
Nd1 0.0000 0.5000 0.0000
Y1 0.0000 0.5000 0.5000
Mg1 0.0000 0.0000 0.5000
Se1 0.0000 0.0000 0.2459
Se2 0.0070 0.5035 0.2443

***

Here is a relaxed structure of NdMg2Si from the Alexandria database. Energies are from PBE-GGA.

Calculated values
The total energy is -3.63 eV/atom. The raw formation energy is -1.14 eV per formula unit. As for the density of states at the Fermi level: 0.6 states/eV/cell. The calculated volume is 22.9 A^3/atom. As for the total magnetization: 0.00 μB per cell.

a b c (Å): 4.372 4.372 4.785
angles (deg): 90.00 90.00 90.00
Space group P4/mmm (No. 123)
Inequivalent atoms, fractional coordinates:
Nd1 0.000 0.000 0.000
Mg1 0.000 0.500 0.500
Si1 0.500 0.500 0.000

***

Here is a relaxed structure of Nd2MgSi from the Alexandria database. Energies are from PBE-GGA.

Calculated values
The total energy is -4.12 eV/atom. The raw formation energy is 0.09 eV per formula unit. As for the density of states at the Fermi level: 9.6 states/eV/cell. The calculated volume is 37.2 A^3/atom. As for the total magnetization: 0.00 μB per cell.

a b c (Å): 4.0655 4.0655 31.1598
angles (deg): 90.00 90.00 120.00
Space group R-3m (No. 166, hexagonal axes)
Inequivalent atoms, fractional coordinates:
Nd1 0.0000 0.0000 0.1135
Mg1 0.0000 0.0000 0.0000
Si1 0.0000 0.0000 0.5000

***

Here is a relaxed structure of Nd2MgSi from the Alexandria database. Energies are from PBE-GGA.

Calculated values
The total energy is -4.44 eV/atom. The raw formation energy is -1.22 eV per formula unit. As for the density of states at the Fermi level: 2.5 states/eV/cell. The calculated volume is 25.7 A^3/atom. As for the total magnetization: 0.00 μB per cell.

a b c (Å): 4.998 4.998 4.114
angles (deg): 90.00 90.00 90.00
Space group P4/mmm (No. 123)
Inequivalent atoms, fractional coordinates:
Nd1 0.000 0.500 0.000
Mg1 0.000 0.000 0.500
Si1 0.500 0.500 0.500

***

Here is a relaxed structure of Nd2MgSi2 from the Alexandria database. Energies are from PBE-GGA.

Calculated values
The total energy is -5.07 eV/atom. The raw formation energy is -3.39 eV per formula unit. As for the density of states at the Fermi level: 4.1 states/eV/cell. The calculated volume is 23.8 A^3/atom. As for the total magnetization: 0.00 μB per cell.

a b c (Å): 7.389 7.389 4.364
angles (deg): 90.00 90.00 90.00
Space group P4/mbm (No. 127)
Inequivalent atoms, fractional coordinates:
Nd1 0.180 0.320 0.000
Mg1 0.000 0.000 0.500
Si1 0.115 0.615 0.500